(1)
A relaxed SmDy5ErTm2 crystal. Source: the Alexandria database, functional PBE-GGA.

Calculated values
Space group: Cmc2_1, No. 36
Crystal system: orthorhombic

The structure in POSCAR format:
```
SmDy5ErTm2
1.0
5.5612 0.0000 0.0000
-2.7806 9.9037 0.0000
0.0000 0.0000 10.5492
Sm Dy Er Tm
2 10 2 4
Direct
0.7998 0.5996 0.5110
0.2002 0.4004 0.0110
0.3926 0.7852 0.0238
0.7184 0.4367 0.8069
0.4788 0.9576 0.7384
0.3002 0.6003 0.7069
0.9827 0.9654 0.5251
0.6074 0.2148 0.5238
0.2816 0.5633 0.3069
0.5212 0.0424 0.2384
0.6998 0.3997 0.2069
0.0173 0.0346 0.0251
0.5867 0.1734 0.9554
0.4133 0.8266 0.4554
0.8863 0.7726 0.8177
0.1089 0.2177 0.7389
0.1137 0.2274 0.3177
0.8911 0.7823 0.2389
```


(2)
A relaxed SmDy4Er2Tm crystal. Source: the Alexandria database, functional PBE-GGA.

Calculated values
Space group: P4/mmm, No. 123
Crystal system: tetragonal

The structure in POSCAR format:
```
SmDy4Er2Tm
1.0
4.9991 -0.0002 0.0000
-0.0001 4.8688 1.1079
0.0001 2.6488 10.8645
Sm Dy Er Tm
1 4 2 1
Direct
0.5000 0.5000 0.0000
0.0000 0.7526 0.7479
0.0000 0.2474 0.2521
0.5000 0.7468 0.2525
0.5000 0.2532 0.7475
0.0000 0.0000 0.0000
0.5000 0.0000 0.5000
0.0000 0.5000 0.5000
```


(3)
A relaxed Sm2Dy4Er2Tm crystal. Source: the Alexandria database, functional PBE-GGA.

Calculated values
Space group: C2/m, No. 12
Crystal system: monoclinic

The structure in POSCAR format:
```
Sm2Dy4Er2Tm
1.0
-1.5079 -2.6076 1.9353
7.2115 -4.6634 -3.9762
2.1205 4.7029 7.9887
Sm Dy Er Tm
2 4 2 1
Direct
0.8519 0.7039 0.3336
0.1481 0.2961 0.6664
0.8154 0.6307 0.6681
0.1846 0.3693 0.3319
0.5183 0.0366 0.3300
0.4817 0.9634 0.6700
0.3338 0.6675 0.9990
0.6662 0.3325 0.0010
0.0000 0.0000 0.0000
```


(4)
A relaxed Sm6Dy2ErTm crystal. Source: the Alexandria database, functional PBE-GGA.

Calculated values
Space group: C2/c, No. 15
Crystal system: monoclinic

The structure in POSCAR format:
```
Sm6Dy2ErTm
1.0
-6.5248 -0.8487 6.9680
6.4583 -3.7696 4.7596
-0.4163 8.8532 -0.1404
Sm Dy Er Tm
12 4 2 2
Direct
0.0545 0.1207 0.7594
0.4455 0.2406 0.8793
0.9455 0.8793 0.2406
0.5545 0.7594 0.1207
0.3130 0.9870 0.4330
0.1870 0.5670 0.0130
0.6870 0.0130 0.5670
0.8130 0.4330 0.9870
0.1188 0.7092 0.4934
0.3812 0.5066 0.2908
0.8812 0.2908 0.5066
0.6188 0.4934 0.7092
0.4552 0.8001 0.6997
0.0448 0.3003 0.1999
0.5448 0.1999 0.3003
0.9552 0.6997 0.8001
0.2500 0.9746 0.0254
0.7500 0.0254 0.9746
0.2500 0.4101 0.5899
0.7500 0.5899 0.4101
```


| no. | D(E_F) (states/eV/atom) | V (Å³/atom) | E_form (eV/atom) |
| --- | --- | --- | --- |
| 1 | 1.57 | 32.28 | 0.157 |
| 2 | 1.35 | 31.22 | 0.020 |
| 3 | 1.35 | 31.66 | 0.010 |
| 4 | 1.35 | 32.99 | 0.118 |